Be4Cu3Pd2: relaxed, PBE-GGA.

Computed properties:
For the total magnetic moment, the calculation gives 0.00 μB per formula unit. The formation enthalpy at 0 K is -266 meV/atom. The symmetry is No. 12. For the total energy, the calculation gives -40.0 eV per formula unit.

a = 3.8684 Å, b = 3.9386 Å, c = 7.3581 Å
α = 88.49°, β = 89.98°, γ = 60.60°
Closest atoms and distances in Å follow each position.
Positions (direct):
Be 0.6663 0.6675 0.8909  4 Cu 2.32-2.40, 4 Pd 2.36-2.39
Be 0.0026 0.9947 0.3346  4 Cu 2.36-2.46, 3 Pd 2.43-2.45, 1 Be 2.44
Be 0.9974 0.0053 0.6654  4 Cu 2.36-2.46, 3 Pd 2.43-2.45, 1 Be 2.44
Be 0.3337 0.3325 0.1091  4 Cu 2.32-2.40, 4 Pd 2.36-2.39
Cu 0.3354 0.3291 0.4250  4 Be 2.32-2.36, 3 Cu 2.48-2.53
Cu 0.0000 0.0000 0.0000  8 Be 2.40-2.46
Cu 0.6646 0.6709 0.5750  4 Be 2.32-2.36, 3 Cu 2.48-2.53
Pd 0.3330 0.3340 0.7878  7 Be 2.36-2.45
Pd 0.6670 0.6660 0.2122  7 Be 2.36-2.45